Record 1
Computed, not measured: a relaxed K2PmBe2Se4 crystal at the PBE-GGA level of DFT.

Unit cell a=15.512 b=3.871 c=8.327 alpha=90.00 beta=112.98 gamma=90.00
Space group C2/m (No. 12)
One atom of each set of equivalent atoms:
K1 0.126 0.000 0.051 [4 per cell]
Pm1 0.000 0.000 0.500 [2 per cell]
Be1 0.170 0.500 0.475 [4 per cell]
Se1 0.031 0.500 0.257 [4 per cell]
Se2 0.210 0.000 0.645 [4 per cell]

## Properties
Total moment = 0.0 μB/cell
V = 25.58 Å³ per atom
ΔE_f (raw) = -9.684 eV/f.u.

---

Record 2
Computed, not measured: a relaxed NaErIn2F6 crystal at the PBE-GGA level of DFT.

Unit cell a=6.3828 b=6.3828 c=15.5883 alpha=90.00 beta=90.00 gamma=120.00
Space group R3 (No. 146, hexagonal axes)
One atom of each set of equivalent atoms:
Na1 0.0000 0.0000 0.0000 [3 per cell]
Er1 0.0000 0.0000 0.5045 [3 per cell]
In1 0.0000 0.0000 0.2242 [3 per cell]
In2 0.0000 0.0000 0.7251 [3 per cell]
F1 0.0103 0.5021 0.7722 [9 per cell]
F2 0.0386 0.5234 0.2654 [9 per cell]

## Properties
Total moment = 0.0 μB/cell
V = 18.33 Å³ per atom
ΔE_f (raw) = -28.561 eV/f.u.

---

Record 3
Computed, not measured: a relaxed Tb5Ag4Pt crystal at the PBE-GGA level of DFT.

Unit cell a=3.602 b=3.602 c=18.344 alpha=90.00 beta=90.00 gamma=90.00
Space group P4/mmm (No. 123)
One atom of each set of equivalent atoms:
Tb1 0.000 0.000 0.000 [1 per cell]
Tb2 0.000 0.000 0.204 [2 per cell]
Tb3 0.000 0.000 0.409 [2 per cell]
Ag1 0.500 0.500 0.102 [2 per cell]
Ag2 0.500 0.500 0.304 [2 per cell]
Pt1 0.500 0.500 0.500 [1 per cell]

## Properties
Total moment = 0.0 μB/cell
V = 23.79 Å³ per atom
Energy of formation from the pure elements = -500 meV/atom

---

Record 4
Computed, not measured: a relaxed SmLu2O crystal at the PBE-GGA level of DFT.

Unit cell a=3.166 b=3.166 c=8.551 alpha=90.00 beta=90.00 gamma=90.00
Space group P4/mmm (No. 123)
One atom of each set of equivalent atoms:
Sm1 0.000 0.000 0.000 [1 per cell]
Lu1 0.500 0.500 0.320 [2 per cell]
O1 0.000 0.000 0.500 [1 per cell]

## Properties
Total moment = 0.0 μB/cell
E above lowest polymorph = 39.6 kJ/mol of atoms
V = 21.42 Å³ per atom
ΔE_f (raw) = -3.158 eV/f.u.

---

Record 5
Computed, not measured: a relaxed CeNiRhPb crystal at the PBE-GGA level of DFT.

Unit cell a=6.784 b=6.784 c=6.784 alpha=90.00 beta=90.00 gamma=90.00
Space group F-43m (No. 216)
One atom of each set of equivalent atoms:
Ce1 0.000 0.000 0.000 [4 per cell]
Ni1 0.250 0.250 0.750 [4 per cell]
Rh1 0.250 0.250 0.250 [4 per cell]
Pb1 0.000 0.000 0.500 [4 per cell]

## Properties
Total moment = 0.1 μB/cell
V = 19.52 Å³ per atom
Energy of formation from the pure elements = -335 meV/atom

---

Record 6
Computed, not measured: a relaxed Ho12Ag3H5 crystal at the PBE-GGA level of DFT.

Unit cell a=15.273 b=15.273 c=15.273 alpha=90.00 beta=90.00 gamma=90.00
Space group Ia-3d (No. 230)
One atom of each set of equivalent atoms:
Ho1 0.041 0.056 0.652 [96 per cell]
Ag1 0.000 0.250 0.125 [24 per cell]
H1 0.000 0.000 0.000 [16 per cell]
H2 0.000 0.250 0.375 [24 per cell]

## Properties
Total moment = 0.0 μB/cell
V = 22.26 Å³ per atom
Uncorrected energy = -4.237 eV/atom

---

Record 7
Computed, not measured: a relaxed SrRu3 crystal at the PBE-GGA level of DFT.

Unit cell a=2.904 b=2.904 c=8.369 alpha=90.00 beta=90.00 gamma=90.00
Space group P4/mmm (No. 123)
One atom of each set of equivalent atoms:
Sr1 0.000 0.000 0.000 [1 per cell]
Ru1 0.000 0.000 0.500 [1 per cell]
Ru2 0.500 0.500 0.300 [2 per cell]

## Properties
Total moment = 0.0 μB/cell
V = 17.65 Å³ per atom
Energy of formation from the pure elements = 580 meV/atom

---

Record 8
Computed, not measured: a relaxed Ni2AgOs crystal at the PBE-GGA level of DFT.

Unit cell a=2.630 b=3.769 c=5.502 alpha=90.00 beta=90.00 gamma=90.00
Space group Pmm2 (No. 25)
One atom of each set of equivalent atoms:
Ni1 0.000 0.000 0.000 [1 per cell]
Ni2 0.500 0.500 0.245 [1 per cell]
Ag1 0.500 0.500 0.748 [1 per cell]
Os1 0.000 0.000 0.439 [1 per cell]

## Properties
Total moment = 0.0 μB/cell
E above lowest polymorph = 22.0 kJ/mol of atoms
V = 13.63 Å³ per atom
Energy of formation from the pure elements = 420 meV/atom

---

Record 9
Computed, not measured: a relaxed ScPa2P crystal at the PBE-GGA level of DFT.

Unit cell a=3.3815 b=3.3815 c=29.5531 alpha=90.00 beta=90.00 gamma=120.00
Space group R-3m (No. 166, hexagonal axes)
One atom of each set of equivalent atoms:
Sc1 0.0000 0.0000 0.0000 [3 per cell]
Pa1 0.0000 0.0000 0.1024 [6 per cell]
P1 0.0000 0.0000 0.5000 [3 per cell]

## Properties
Total moment = 1.4 μB/cell
V = 24.39 Å³ per atom
Energy of formation from the pure elements = -140 meV/atom

---

Record 10
Computed, not measured: a relaxed Ni5HgI12 crystal at the PBE-GGA level of DFT.

Unit cell a=6.982 b=12.099 c=14.805 alpha=90.00 beta=90.21 gamma=90.00
Space group C2/m (No. 12)
One atom of each set of equivalent atoms:
Ni1 0.000 0.000 0.000 [2 per cell]
Ni2 0.000 0.167 0.500 [4 per cell]
Ni3 0.000 0.333 0.000 [4 per cell]
Hg1 0.000 0.500 0.500 [2 per cell]
I1 0.136 0.000 0.608 [4 per cell]
I2 0.166 0.167 0.900 [8 per cell]
I3 0.166 0.500 0.900 [4 per cell]
I4 0.183 0.318 0.608 [8 per cell]

## Properties
Total moment = 20.0 μB/cell
V = 34.74 Å³ per atom
ΔE_f (raw) = -1.665 eV/f.u.